Entry 1:
Compound: Sm2SbSe6
Source: Alexandria via LeMat-Bulk
Functional: PBE-GGA
Structure: relaxed

Its formation energy from raw total energies is -18.9 kcal/mol of atoms. Its raw total energy is -4.6492 eV/atom. The crystal system is tetragonal.

The structure belongs to space group P4_2/mnm (No. 136); the cell edges are 6.6443, 6.6443 and 12.8655 Å and the angles 90.00°, 90.00° and 90.00°. The distinct sites, in fractional coordinates, are Sm at (0.0000, 0.0000, 0.1633), Sb at (0.0000, 0.0000, 0.5000), Se at (0.1892, 0.1892, 0.3426) and Se at (0.2107, 0.2107, 0.0000).

---

Entry 2:
Compound: Sm2SbSe
Source: Alexandria via LeMat-Bulk
Functional: PBE-GGA
Structure: relaxed

Its formation energy from raw total energies is -34.6 kcal/mol of atoms. The calculation puts the energy above the most stable polymorph in this dataset at 0.0 meV per atom. Its raw total energy is -5.7635 eV/atom. The crystal system is trigonal.

The structure belongs to space group R-3m (No. 166, hexagonal axes); the cell edges are 4.3364, 4.3364 and 21.1308 Å and the angles 90.00°, 90.00° and 120.00°. The distinct sites, in fractional coordinates, are Sm at (0.0000, 0.0000, 0.2463), Sb at (0.0000, 0.0000, 0.0000) and Se at (0.0000, 0.0000, 0.5000).

---

Entry 3:
Compound: Sm7SbSe5
Source: Alexandria via LeMat-Bulk
Functional: PBE-GGA
Structure: relaxed

Its formation energy from raw total energies is -36.6 kcal/mol of atoms. Its raw total energy is -5.7841 eV/atom. The crystal system is orthorhombic.

The structure belongs to space group Cmcm (No. 63); the cell edges are 4.1717, 13.6768 and 24.7876 Å and the angles 90.00°, 90.00° and 90.00°. The distinct sites, in fractional coordinates, are Sm at (0.0000, 0.0226, 0.2500), Sm at (0.0000, 0.1381, 0.5373), Sm at (0.0000, 0.3131, 0.1776), Sm at (0.0000, 0.4065, 0.6164), Sb at (0.0000, 0.3090, 0.7500), Se at (0.0000, 0.0498, 0.6422), Se at (0.0000, 0.2237, 0.0713) and Se at (0.0000, 0.5000, 0.0000).

---

Entry 4:
Compound: Sm6SbSe5
Source: Alexandria via LeMat-Bulk
Functional: PBE-GGA
Structure: relaxed

Its formation energy from raw total energies is -39.4 kcal/mol of atoms. Its raw total energy is -5.8652 eV/atom. The crystal system is monoclinic.

The structure belongs to space group C2/m (No. 12); the cell edges are 7.3107, 12.6593 and 7.3399 Å and the angles 90.00°, 109.41° and 90.00°. The distinct sites, in fractional coordinates, are Sm at (0.2427, 0.0000, 0.2546), Sm at (0.2431, 0.1701, 0.7414), Sb at (0.0000, 0.5000, 0.0000), Se at (0.0000, 0.0000, 0.5000), Se at (0.0000, 0.1676, 0.0000) and Se at (0.0000, 0.3376, 0.5000).

---

Entry 5:
Compound: SmSbSe3
Source: Alexandria via LeMat-Bulk
Functional: PBE-GGA
Structure: relaxed

Its formation energy from raw total energies is -24.1 kcal/mol of atoms. The calculation puts the energy above the most stable polymorph in this dataset at 0.0 meV per atom. Its raw total energy is -4.9042 eV/atom. The crystal system is monoclinic.

The structure belongs to space group P2_1/m (No. 11); the cell edges are 7.3749, 4.1422 and 10.2738 Å and the angles 90.00°, 90.22° and 90.00°. The distinct sites, in fractional coordinates, are Sm at (0.0730, 0.2500, 0.3225), Sb at (0.4146, 0.2500, 0.6926), Se at (0.1069, 0.2500, 0.8287), Se at (0.2335, 0.7500, 0.4948) and Se at (0.4217, 0.2500, 0.1735).

---

Entry 6:
Compound: Sm3SbSe6
Source: Alexandria via LeMat-Bulk
Functional: PBE-GGA
Structure: relaxed

Its formation energy from raw total energies is -33.1 kcal/mol of atoms. Its raw total energy is -5.3558 eV/atom. The crystal system is orthorhombic.

The structure belongs to space group Cmc2_1 (No. 36); the cell edges are 11.2929, 14.1985 and 7.1760 Å and the angles 90.00°, 90.00° and 90.00°. The distinct sites, in fractional coordinates, are Sm at (0.0000, 0.0948, 0.0000), Sm at (0.1834, 0.4007, 0.8963), Sb at (0.0000, 0.3222, 0.3801), Se at (0.0000, 0.2672, 0.7541), Se at (0.0000, 0.4920, 0.1356), Se at (0.1651, 0.0325, 0.7009) and Se at (0.1680, 0.2352, 0.1827).

---

Entry 7:
Compound: SmSb2Se4
Source: Alexandria via LeMat-Bulk
Functional: PBE-GGA
Structure: relaxed

Its formation energy from raw total energies is -16.0 kcal/mol of atoms. Its raw total energy is -4.5362 eV/atom. The crystal system is orthorhombic.

The structure belongs to space group Cmcm (No. 63); the cell edges are 4.3341, 13.2652 and 13.5444 Å and the angles 90.00°, 90.00° and 90.00°. The distinct sites, in fractional coordinates, are Sm at (0.0000, 0.1211, 0.2500), Sb at (0.0000, 0.3741, 0.0598), Se at (0.0000, 0.0000, 0.0000), Se at (0.0000, 0.2746, 0.6222) and Se at (0.0000, 0.4746, 0.2500).

---

Entry 8:
Compound: Sm2SbSe
Source: Alexandria via LeMat-Bulk
Functional: PBE-GGA
Structure: relaxed

Its formation energy from raw total energies is -34.6 kcal/mol of atoms. The calculation puts the energy above the most stable polymorph in this dataset at 0.1 meV per atom. Its raw total energy is -5.7634 eV/atom. The crystal system is orthorhombic.

The structure belongs to space group Pmmn (No. 59, origin choice 2); the cell edges are 4.3230, 6.1411 and 8.6564 Å and the angles 90.00°, 90.00° and 90.00°. The distinct sites, in fractional coordinates, are Sm at (0.2500, 0.2500, 0.1178), Sm at (0.2500, 0.2500, 0.6333), Sb at (0.2500, 0.7500, 0.6265) and Se at (0.2500, 0.7500, 0.1225).

---

Entry 9:
Compound: Sm4SbSe3
Source: Alexandria via LeMat-Bulk
Functional: PBE-GGA
Structure: relaxed

Its formation energy from raw total energies is -38.1 kcal/mol of atoms. Its raw total energy is -5.8334 eV/atom. The crystal system is orthorhombic.

The structure belongs to space group Pmmm (No. 47); the cell edges are 4.2548, 6.0148 and 8.5149 Å and the angles 90.00°, 90.00° and 90.00°. The distinct sites, in fractional coordinates, are Sm at (0.0000, 0.0000, 0.0000), Sm at (0.0000, 0.0000, 0.5000), Sm at (0.5000, 0.5000, 0.2401), Sb at (0.0000, 0.5000, 0.5000), Se at (0.0000, 0.5000, 0.0000) and Se at (0.5000, 0.0000, 0.2480).

---

Entry 10:
Compound: SmSbSe2
Source: Alexandria via LeMat-Bulk
Functional: PBE-GGA
Structure: relaxed

Its formation energy from raw total energies is -22.3 kcal/mol of atoms. Its raw total energy is -4.9187 eV/atom. The crystal system is trigonal.

The structure belongs to space group R-3m (No. 166, hexagonal axes); the cell edges are 4.0875, 4.0875 and 26.9788 Å and the angles 90.00°, 90.00° and 120.00°. The distinct sites, in fractional coordinates, are Sm at (0.0000, 0.0000, 0.0000), Sb at (0.0000, 0.0000, 0.5000) and Se at (0.0000, 0.0000, 0.3957).

---

Entry 11:
Compound: Sm5Sb2Se2
Source: Alexandria via LeMat-Bulk
Functional: PBE-GGA
Structure: relaxed

Its formation energy from raw total energies is -28.8 kcal/mol of atoms. Its raw total energy is -5.5600 eV/atom. The crystal system is orthorhombic.

The structure belongs to space group Cmce (No. 64); the cell edges are 15.1819, 8.0246 and 8.1242 Å and the angles 90.00°, 90.00° and 90.00°. The distinct sites, in fractional coordinates, are Sm at (0.0000, 0.0000, 0.0000), Sm at (0.1421, 0.1621, 0.3463), Sb at (0.0000, 0.1419, 0.6427) and Se at (0.1948, 0.0000, 0.0000).

---

Entry 12:
Compound: SmSbSe3
Source: Alexandria via LeMat-Bulk
Functional: PBE-GGA
Structure: relaxed

Its formation energy from raw total energies is -23.8 kcal/mol of atoms. The calculation puts the energy above the most stable polymorph in this dataset at 14.7 meV per atom. Its raw total energy is -4.8894 eV/atom. The crystal system is orthorhombic.

The structure belongs to space group Cmc2_1 (No. 36); the cell edges are 4.1644, 20.9553 and 7.3009 Å and the angles 90.00°, 90.00° and 90.00°. The distinct sites, in fractional coordinates, are Sm at (0.0000, 0.1665, 0.0000), Sb at (0.0000, 0.3489, 0.0051), Se at (0.0000, 0.0866, 0.3385), Se at (0.0000, 0.2510, 0.6725) and Se at (0.0000, 0.4091, 0.3297).

---

- Which of these has the highest formation energy from raw total energies?
  SmSb2Se4

---

What did the seventh record say?
Compound: SmSb2Se4
Source: Alexandria via LeMat-Bulk
Functional: PBE-GGA
Structure: relaxed

Its formation energy from raw total energies is -16.0 kcal/mol of atoms. Its raw total energy is -4.5362 eV/atom. The crystal system is orthorhombic.

The structure belongs to space group Cmcm (No. 63); the cell edges are 4.3341, 13.2652 and 13.5444 Å and the angles 90.00°, 90.00° and 90.00°. The distinct sites, in fractional coordinates, are Sm at (0.0000, 0.1211, 0.2500), Sb at (0.0000, 0.3741, 0.0598), Se at (0.0000, 0.0000, 0.0000), Se at (0.0000, 0.2746, 0.6222) and Se at (0.0000, 0.4746, 0.2500).

---

Copy entry 10 word for word.
Compound: SmSbSe2
Source: Alexandria via LeMat-Bulk
Functional: PBE-GGA
Structure: relaxed

Its formation energy from raw total energies is -22.3 kcal/mol of atoms. Its raw total energy is -4.9187 eV/atom. The crystal system is trigonal.

The structure belongs to space group R-3m (No. 166, hexagonal axes); the cell edges are 4.0875, 4.0875 and 26.9788 Å and the angles 90.00°, 90.00° and 120.00°. The distinct sites, in fractional coordinates, are Sm at (0.0000, 0.0000, 0.0000), Sb at (0.0000, 0.0000, 0.5000) and Se at (0.0000, 0.0000, 0.3957).

---

- Which formula does entry 1 have?
  Sm2SbSe6